# 1
A plane-wave DFT calculation with PBE was carried out for Hg3Rh after structural relaxation.

The calculation puts the density of states at the Fermi level at 3.69 states/eV/f.u. The crystal system is trigonal. As for the formation enthalpy at 0 K: 22.6 kJ/mol of atoms. The total magnetic moment comes out at 0.0000 μB/atom. The final energy is -21.964 eV for the cell shown.

The space group is R-3m (No. 166, hexagonal axes) and the conventional cell measures 3.1336, 3.1336 and 29.7005 Å, with angles of 90.00, 90.00 and 120.00 degrees. The distinct sites, in fractional coordinates, are Hg at (0.0000, 0.0000, 0.0000), Hg at (0.0000, 0.0000, 0.2395) and Rh at (0.0000, 0.0000, 0.5000).

=====

# 2
A plane-wave DFT calculation with PBE was carried out for HgRh5 after structural relaxation.

The calculation puts the density of states at the Fermi level at 8.35 states/eV/f.u. The crystal system is tetragonal. As for the formation enthalpy at 0 K: 11.4 kJ/mol of atoms. The total magnetic moment comes out at 0.0000 μB/atom. The final energy is -36.349 eV for the cell shown.

The space group is P4/mmm (No. 123) and the conventional cell measures 2.783, 2.783 and 11.787 Å, with angles of 90.00, 90.00 and 90.00 degrees. The distinct sites, in fractional coordinates, are Hg at (0.000, 0.000, 0.000), Rh at (0.000, 0.000, 0.339), Rh at (0.500, 0.500, 0.185) and Rh at (0.500, 0.500, 0.500).

=====

# 3
A plane-wave DFT calculation with PBE was carried out for Hg3Rh2 after structural relaxation.

The calculation puts the density of states at the Fermi level at 4.16 states/eV/f.u. The crystal system is orthorhombic. As for the formation enthalpy at 0 K: 25.3 kJ/mol of atoms. The value obtained for the distance to the lowest polymorph of the same formula is 0.0037 eV per atom. The total magnetic moment comes out at 0.0000 μB/atom. The final energy is -114.364 eV for the cell shown.

The space group is Fdd2 (No. 43) and the conventional cell measures 9.941, 13.917 and 5.352 Å, with angles of 90.00, 90.00 and 90.00 degrees. The distinct sites, in fractional coordinates, are Hg at (0.000, 0.000, 0.000), Hg at (0.053, 0.104, 0.488) and Rh at (0.031, 0.201, 0.948).

=====

# 4
A plane-wave DFT calculation with PBE was carried out for Hg3Rh after structural relaxation.

The calculation puts the density of states at the Fermi level at 2.64 states/eV/f.u. The crystal system is hexagonal. As for the formation enthalpy at 0 K: 22.8 kJ/mol of atoms. The total magnetic moment comes out at 0.0734 μB/atom. The final energy is -7.313 eV for the cell shown.

The space group is P-6m2 (No. 187) and the conventional cell measures 3.1470, 3.1470 and 9.6983 Å, with angles of 90.00, 90.00 and 120.00 degrees. The distinct sites, in fractional coordinates, are Hg at (0.0000, 0.0000, 0.0000), Hg at (0.6667, 0.3333, 0.2769) and Rh at (0.0000, 0.0000, 0.5000).

=====

# 5
A plane-wave DFT calculation with PBE was carried out for Hg3Rh after structural relaxation.

The calculation puts the density of states at the Fermi level at 1.75 states/eV/f.u. The crystal system is orthorhombic. As for the formation enthalpy at 0 K: 19.5 kJ/mol of atoms. The total magnetic moment comes out at 0.0000 μB/atom. The final energy is -14.899 eV for the cell shown.

The space group is Pmmn (No. 59, origin choice 2) and the conventional cell measures 4.611, 5.918 and 5.893 Å, with angles of 90.00, 90.00 and 90.00 degrees. The distinct sites, in fractional coordinates, are Hg at (0.250, 0.003, 0.154), Hg at (0.250, 0.750, 0.607) and Rh at (0.250, 0.250, 0.691).

=====

# 6
A plane-wave DFT calculation with PBE was carried out for Hg2Rh after structural relaxation.

The calculation puts the density of states at the Fermi level at 1.32 states/eV/f.u. The crystal system is hexagonal. As for the formation enthalpy at 0 K: 24.5 kJ/mol of atoms. The total magnetic moment comes out at 0.0000 μB/atom. The final energy is -14.388 eV for the cell shown.

The space group is P6_3/mmc (No. 194) and the conventional cell measures 4.7698, 4.7698 and 5.7963 Å, with angles of 90.00, 90.00 and 120.00 degrees. The distinct sites, in fractional coordinates, are Hg at (0.0000, 0.0000, 0.0000), Hg at (0.3333, 0.6667, 0.2500) and Rh at (0.3333, 0.6667, 0.7500).

=====

# 7
A plane-wave DFT calculation with PBE was carried out for Hg4Rh3 after structural relaxation.

The calculation puts the density of states at the Fermi level at 6.05 states/eV/f.u. The crystal system is tetragonal. As for the formation enthalpy at 0 K: 18.8 kJ/mol of atoms. The value obtained for the distance to the lowest polymorph of the same formula is 0.0000 eV per atom. The total magnetic moment comes out at 0.2023 μB/atom. The final energy is -43.797 eV for the cell shown.

The space group is I4/mmm (No. 139) and the conventional cell measures 3.026, 3.026 and 28.546 Å, with angles of 90.00, 90.00 and 90.00 degrees. The distinct sites, in fractional coordinates, are Hg at (0.000, 0.000, 0.066), Hg at (0.000, 0.000, 0.346), Rh at (0.000, 0.000, 0.222) and Rh at (0.000, 0.000, 0.500).

=====

# 8
A plane-wave DFT calculation with PBE was carried out for Hg3Rh after structural relaxation.

The calculation puts the density of states at the Fermi level at 1.62 states/eV/f.u. The crystal system is orthorhombic. As for the formation enthalpy at 0 K: 17.5 kJ/mol of atoms. The total magnetic moment comes out at 0.0000 μB/atom. The final energy is -15.061 eV for the cell shown.

The space group is Imm2 (No. 44) and the conventional cell measures 3.197, 9.484 and 5.389 Å, with angles of 90.00, 90.00 and 90.00 degrees. The distinct sites, in fractional coordinates, are Hg at (0.000, 0.000, 0.000), Hg at (0.000, 0.224, 0.622) and Rh at (0.000, 0.500, 0.929).

=====

Question: What is the final energy in the third record?
Answer: -114.364 eV for the cell shown

=====

Question: The lowest final energy belongs to which entry?
Answer: Hg3Rh2